# 1
Computed, not measured: a relaxed NbNiIrRh crystal at the PBE-GGA level of DFT.

Computed properties:
Energy of formation   -0.449 eV/atom
Space-group type   Pmmm, No. 47
Electronic total energy   -0.6221 Ry per atom
Magnetic moment   0.000 μB per atom

a = 3.751 Å, b = 3.902 Å, c = 3.912 Å
α = 90.00°, β = 90.00°, γ = 90.00°
Fractional positions:
Nb 0.000 0.000 0.000
Ni 0.000 0.500 0.500
Ir 0.500 0.000 0.500
Rh 0.500 0.500 0.000

# 2
Computed, not measured: a relaxed NbNiIrRu crystal at the PBE-GGA level of DFT.

Computed properties:
Energy of formation   -0.352 eV/atom
Space-group type   Pmmm, No. 47
Electronic total energy   -0.6504 Ry per atom
Magnetic moment   0.000 μB per atom

a = 3.750 Å, b = 3.861 Å, c = 3.940 Å
α = 90.00°, β = 90.00°, γ = 90.00°
Fractional positions:
Nb 0.000 0.000 0.000
Ni 0.000 0.500 0.500
Ir 0.500 0.000 0.500
Ru 0.500 0.500 0.000

# 3
Computed, not measured: a relaxed NbNiSnIr2 crystal at the PBE-GGA level of DFT.

Computed properties:
Energy of formation   1.134 eV/atom
Space-group type   P4/mmm, No. 123
Electronic total energy   -0.4690 Ry per atom
Magnetic moment   0.000 μB per atom

a = 4.828 Å, b = 4.828 Å, c = 4.610 Å
α = 90.00°, β = 90.00°, γ = 90.00°
Fractional positions:
Nb 0.000 0.000 0.000
Ni 0.000 0.000 0.500
Sn 0.500 0.500 0.500
Ir 0.000 0.500 0.000
Ir 0.500 0.000 0.000

# 4
Computed, not measured: a relaxed Nb2NiTeIr crystal at the PBE-GGA level of DFT.

Computed properties:
Space-group type   P4/mmm, No. 123
Electronic total energy   -0.5030 Ry per atom
Magnetic moment   0.000 μB per atom

a = 4.579 Å, b = 4.579 Å, c = 4.679 Å
α = 90.00°, β = 90.00°, γ = 90.00°
Fractional positions:
Nb 0.000 0.500 0.000
Nb 0.500 0.000 0.000
Ni 0.000 0.000 0.000
Te 0.500 0.500 0.500
Ir 0.000 0.000 0.500